Entry 1:
{"formula": "KAlNF2", "functional": "PBE", "state": "relaxed", "relative_energy_ev_per_atom": 1.7961, "magmom_total_mub_per_cell": 3.1, "raw_formation_energy_ev_per_atom": -0.0289, "crystal_system": "tetragonal", "final_energy_ev_per_cell": -17.1, "dos_ef_per_ev_atom": 0.123, "lattice": [[-0.4263, -2.2619, -4.3325], [4.3209, -2.2067, 0.7269], [-2.3282, -3.8256, 2.2263]], "species": ["K", "Al", "N", "F", "F"], "frac_coords": [[0.0000, 0.0000, 0.0000], [0.5000, 0.5000, 0.5000], [0.0000, 0.0000, 0.5000], [0.0000, 0.5000, 0.0000], [0.5000, 0.0000, 0.0000]]}

Entry 2:
{"formula": "KAlNF2", "functional": "PBE", "state": "relaxed", "relative_energy_ev_per_atom": 0.0000, "magmom_total_mub_per_cell": 1.0, "raw_formation_energy_ev_per_atom": -1.8250, "crystal_system": "tetragonal", "final_energy_ev_per_cell": -26.0, "dos_ef_per_ev_atom": 0.584, "lattice": [[-2.6966, 2.7823, 1.2389], [-0.9796, -2.3591, 3.1659], [2.6661, 1.6644, 2.0652]], "species": ["F", "F", "N", "Al", "K"], "frac_coords": [[0.5000, 0.0000, 0.0000], [0.0000, 0.5000, 0.0000], [0.0000, 0.0000, 0.5000], [0.0000, 0.0000, 0.0000], [0.5000, 0.5000, 0.5000]]}

Entry 3:
{"formula": "K3Na2AlF9", "functional": "PBE", "state": "relaxed", "magmom_total_mub_per_cell": 1.1, "raw_formation_energy_ev_per_atom": -2.8478, "crystal_system": "trigonal", "final_energy_ev_per_cell": -69.2, "dos_ef_per_ev_atom": 0.951, "lattice": [[5.8611, 0.0000, 0.0000], [-2.9305, 5.0758, 0.0000], [0.0000, 0.0000, 7.4885]], "species": ["K", "F", "F", "K", "F", "Na", "F", "Al", "Na", "F", "K", "F", "F", "F", "F"], "frac_coords": [[0.0000, 0.0000, 0.0000], [0.8526, 0.1474, 0.6412], [0.0000, 0.5000, 0.0000], [0.6667, 0.3333, 0.3182], [0.7051, 0.8526, 0.3588], [0.3333, 0.6667, 0.1974], [0.8526, 0.7051, 0.6412], [0.0000, 0.0000, 0.5000], [0.6667, 0.3333, 0.8026], [0.5000, 0.5000, 0.0000], [0.3333, 0.6667, 0.6818], [0.5000, 0.0000, 0.0000], [0.2949, 0.1474, 0.6412], [0.1474, 0.8526, 0.3588], [0.1474, 0.2949, 0.3588]]}